First-principles (PBE) data for a geometry-optimized Tm2SnGe structure, as listed in the Alexandria database.

Properties
Its calculated density is 9.26 Mg/m³. The space group is No. 123. The calculation puts the total energy at -4.991 eV per atom. The density of states at the Fermi level is 3.105 states/eV/cell.

abc: 3.3612 3.3612 8.4004
angles: 90.00 90.00 90.00
Positions (direct):
Tm: 0.0000 0.0000 0.2256
Tm: 0.0000 0.0000 0.7744
Sn: 0.5000 0.5000 0.5000
Ge: 0.5000 0.5000 0.0000


First-principles (PBE) data for a geometry-optimized Tm5Sn2Ge structure, as listed in the Alexandria database.

Properties
Its calculated density is 8.69 Mg/m³. The space group is No. 63. The calculation puts the total energy at -4.733 eV per atom. The density of states at the Fermi level is 14.913 states/eV/cell.

abc: 5.5137 5.5137 16.2027
angles: 90.00 90.00 116.34
Positions (direct):
Tm: 0.0811 0.9189 0.6010
Tm: 0.0811 0.9189 0.8990
Tm: 0.2491 0.7509 0.2500
Tm: 0.4161 0.5839 0.6044
Tm: 0.4161 0.5839 0.8956
Tm: 0.5839 0.4161 0.1044
Tm: 0.5839 0.4161 0.3956
Tm: 0.7509 0.2491 0.7500
Tm: 0.9189 0.0811 0.1010
Tm: 0.9189 0.0811 0.3990
Sn: 0.2526 0.7474 0.0653
Sn: 0.2526 0.7474 0.4347
Sn: 0.7474 0.2526 0.5653
Sn: 0.7474 0.2526 0.9347
Ge: 0.2406 0.7594 0.7500
Ge: 0.7594 0.2406 0.2500


First-principles (PBE) data for a geometry-optimized Tm5Sn2Ge2 structure, as listed in the Alexandria database.

Properties
Its calculated density is 8.87 Mg/m³. The space group is No. 64. The calculation puts the total energy at -5.168 eV per atom. The density of states at the Fermi level is 9.209 states/eV/cell.

abc: 8.4740 8.4740 7.7999
angles: 90.00 90.00 55.10
Positions (direct):
Tm: 0.0000 0.0000 0.0000
Tm: 0.0398 0.7045 0.6670
Tm: 0.2045 0.5398 0.1670
Tm: 0.2955 0.9602 0.6670
Tm: 0.4602 0.7955 0.1670
Tm: 0.5000 0.5000 0.5000
Tm: 0.5398 0.2045 0.8330
Tm: 0.7045 0.0398 0.3330
Tm: 0.7955 0.4602 0.8330
Tm: 0.9602 0.2955 0.3330
Sn: 0.2094 0.2094 0.0000
Sn: 0.2906 0.2906 0.5000
Sn: 0.7094 0.7094 0.5000
Sn: 0.7906 0.7906 0.0000
Ge: 0.1376 0.8624 0.3624
Ge: 0.3624 0.6376 0.8624
Ge: 0.6376 0.3624 0.1376
Ge: 0.8624 0.1376 0.6376


First-principles (PBE) data for a geometry-optimized Tm2SnGe structure, as listed in the Alexandria database.

Properties
Its calculated density is 9.03 Mg/m³. The space group is No. 11. The calculation puts the total energy at -5.125 eV per atom. The density of states at the Fermi level is 4.659 states/eV/cell.

abc: 5.9340 4.0671 8.4949
angles: 90.00 108.28 90.00
Positions (direct):
Tm: 0.1881 0.2500 0.4216
Tm: 0.2797 0.7500 0.0585
Tm: 0.7203 0.2500 0.9415
Tm: 0.8119 0.7500 0.5784
Sn: 0.3876 0.7500 0.7064
Sn: 0.6124 0.2500 0.2936
Ge: 0.1080 0.2500 0.7978
Ge: 0.8920 0.7500 0.2022


First-principles (PBE) data for a geometry-optimized Tm3SnGe2 structure, as listed in the Alexandria database.

Properties
Its calculated density is 9.00 Mg/m³. The space group is No. 71. The calculation puts the total energy at -5.143 eV per atom. The density of states at the Fermi level is 2.996 states/eV/cell.

abc: 8.4333 8.4333 8.4333
angles: 151.07 150.56 41.74
Positions (direct):
Tm: 0.0000 0.0000 0.0000
Tm: 0.3237 0.8237 0.5000
Tm: 0.6763 0.1763 0.5000
Sn: 0.5000 0.5000 0.0000
Ge: 0.1421 0.6421 0.5000
Ge: 0.8579 0.3579 0.5000


First-principles (PBE) data for a geometry-optimized TmSnGe structure, as listed in the Alexandria database.

Properties
Its calculated density is 8.60 Mg/m³. The space group is No. 63. The calculation puts the total energy at -4.946 eV per atom. The density of states at the Fermi level is 2.629 states/eV/cell.

abc: 8.3255 8.3255 4.0416
angles: 90.00 90.00 150.23
Positions (direct):
Tm: 0.0936 0.9064 0.7500
Tm: 0.9064 0.0936 0.2500
Sn: 0.2583 0.7417 0.2500
Sn: 0.7417 0.2583 0.7500
Ge: 0.4448 0.5552 0.7500
Ge: 0.5552 0.4448 0.2500


First-principles (PBE) data for a geometry-optimized TmSnGe structure, as listed in the Alexandria database.

Properties
Its calculated density is 8.24 Mg/m³. The space group is No. 156. The calculation puts the total energy at -4.652 eV per atom. The density of states at the Fermi level is 1.181 states/eV/cell.

abc: 4.8327 4.8327 3.5914
angles: 90.00 90.00 120.00
Positions (direct):
Tm: 0.0000 0.0000 0.0000
Sn: 0.6667 0.3333 0.4751
Ge: 0.3333 0.6667 0.5458


First-principles (PBE) data for a geometry-optimized Tm8Sn5Ge structure, as listed in the Alexandria database.

Properties
Its calculated density is 8.90 Mg/m³. The space group is No. 82. The calculation puts the total energy at -5.019 eV per atom. The density of states at the Fermi level is 1.339 states/eV/cell.

abc: 7.8778 7.8778 7.8778
angles: 109.73 109.73 108.96
Positions (direct):
Tm: 0.1293 0.3775 0.1044
Tm: 0.1365 0.3777 0.6203
Tm: 0.2731 0.0249 0.8956
Tm: 0.4838 0.8635 0.2413
Tm: 0.6223 0.2425 0.7587
Tm: 0.6225 0.7269 0.7518
Tm: 0.7575 0.5162 0.3797
Tm: 0.9751 0.8707 0.2482
Sn: 0.2500 0.7500 0.5000
Sn: 0.3728 0.2445 0.3721
Sn: 0.7555 0.1276 0.1283
Sn: 0.8724 0.0007 0.6279
Sn: 0.9993 0.6272 0.8717
Ge: 0.5000 0.5000 0.0000


First-principles (PBE) data for a geometry-optimized Tm2SnGe structure, as listed in the Alexandria database.

Properties
Its calculated density is 8.34 Mg/m³. The space group is No. 166. The calculation puts the total energy at -4.979 eV per atom. The density of states at the Fermi level is 3.528 states/eV/cell.

abc: 8.3379 8.3379 8.3379
angles: 27.00 27.00 27.00
Positions (direct):
Tm: 0.2392 0.2392 0.2392
Tm: 0.7608 0.7608 0.7608
Sn: 0.0000 0.0000 0.0000
Ge: 0.5000 0.5000 0.5000


First-principles (PBE) data for a geometry-optimized Tm4Sn2Ge structure, as listed in the Alexandria database.

Properties
Its calculated density is 8.81 Mg/m³. The space group is No. 12. The calculation puts the total energy at -5.016 eV per atom. The density of states at the Fermi level is 5.337 states/eV/cell.

abc: 6.0992 6.0992 8.5334
angles: 119.70 119.70 43.82
Positions (direct):
Tm: 0.0822 0.0822 0.3734
Tm: 0.3265 0.3265 0.9312
Tm: 0.6735 0.6735 0.0688
Tm: 0.9178 0.9178 0.6266
Sn: 0.3525 0.3525 0.3329
Sn: 0.6475 0.6475 0.6671
Ge: 0.0000 0.0000 0.0000


First-principles (PBE) data for a geometry-optimized Tm7Sn2Ge2 structure, as listed in the Alexandria database.

Properties
Its calculated density is 8.40 Mg/m³. The space group is No. 65. The calculation puts the total energy at -4.801 eV per atom. The density of states at the Fermi level is 12.437 states/eV/cell.

abc: 6.8199 6.8199 6.8320
angles: 90.00 90.00 103.05
Positions (direct):
Tm: 0.0000 0.0000 0.0000
Tm: 0.0000 0.5000 0.2635
Tm: 0.0000 0.5000 0.7365
Tm: 0.5000 0.0000 0.2635
Tm: 0.5000 0.0000 0.7365
Tm: 0.5000 0.5000 0.2513
Tm: 0.5000 0.5000 0.7487
Sn: 0.1813 0.1813 0.5000
Sn: 0.8187 0.8187 0.5000
Ge: 0.2760 0.7240 0.0000
Ge: 0.7240 0.2760 0.0000


First-principles (PBE) data for a geometry-optimized Tm6Sn3Ge structure, as listed in the Alexandria database.

Properties
Its calculated density is 8.64 Mg/m³. The space group is No. 14. The calculation puts the total energy at -4.884 eV per atom. The density of states at the Fermi level is 15.637 states/eV/cell.

abc: 6.0894 8.4887 12.2776
angles: 90.00 119.12 90.00
Positions (direct):
Tm: 0.0526 0.1658 0.4332
Tm: 0.0526 0.3342 0.9332
Tm: 0.3288 0.6881 0.4322
Tm: 0.3288 0.8119 0.9322
Tm: 0.3952 0.0483 0.2584
Tm: 0.3952 0.4517 0.7584
Tm: 0.6048 0.5483 0.2416
Tm: 0.6048 0.9517 0.7416
Tm: 0.6712 0.1881 0.0678
Tm: 0.6712 0.3119 0.5678
Tm: 0.9474 0.6658 0.0668
Tm: 0.9474 0.8342 0.5668
Sn: 0.0000 0.0000 0.0000
Sn: 0.0000 0.5000 0.5000
Sn: 0.1583 0.1153 0.7562
Sn: 0.1583 0.3847 0.2562
Sn: 0.8417 0.6153 0.7438
Sn: 0.8417 0.8847 0.2438
Ge: 0.5000 0.0000 0.5000
Ge: 0.5000 0.5000 0.0000


Please write out number 11 again, unchanged.
First-principles (PBE) data for a geometry-optimized Tm7Sn2Ge2 structure, as listed in the Alexandria database.

Properties
Its calculated density is 8.40 Mg/m³. The space group is No. 65. The calculation puts the total energy at -4.801 eV per atom. The density of states at the Fermi level is 12.437 states/eV/cell.

abc: 6.8199 6.8199 6.8320
angles: 90.00 90.00 103.05
Positions (direct):
Tm: 0.0000 0.0000 0.0000
Tm: 0.0000 0.5000 0.2635
Tm: 0.0000 0.5000 0.7365
Tm: 0.5000 0.0000 0.2635
Tm: 0.5000 0.0000 0.7365
Tm: 0.5000 0.5000 0.2513
Tm: 0.5000 0.5000 0.7487
Sn: 0.1813 0.1813 0.5000
Sn: 0.8187 0.8187 0.5000
Ge: 0.2760 0.7240 0.0000
Ge: 0.7240 0.2760 0.0000


Which value of calculated density does entry 4 give? 9.03 Mg/m³